## RbBeGe (PBE)

Data for an optimized crystal structure of RbBeGe.

## Properties
crystal system	triclinic
E above lowest polymorph	0.0620	eV per atom
electronic total energy	-3.020	eV/atom

CIF file:
```
data_RbBeGe
_cell_length_a 4.327
_cell_length_b 4.336
_cell_length_c 11.322
_cell_angle_alpha 92.96
_cell_angle_beta 92.79
_cell_angle_gamma 117.37
_symmetry_space_group_name_H-M 'P -1'
_symmetry_Int_Tables_number 2
loop_
_symmetry_equiv_pos_as_xyz
'x,y,z'
'-x,-y,-z'
loop_
_atom_site_label
_atom_site_fract_x
_atom_site_fract_y
_atom_site_fract_z
_atom_site_occupancy
Rb1 0.042 0.310 0.195 1
Be1 0.253 0.752 0.500 1
Ge1 0.266 0.271 0.580 1
```

## RbTaBeGe2 (PBE)

Data for an optimized crystal structure of RbTaBeGe2.

## Properties
crystal system	tetragonal
electronic total energy	-4.738	eV/atom

CIF file:
```
data_RbTaBeGe2
_cell_length_a 5.076
_cell_length_b 5.076
_cell_length_c 4.991
_cell_angle_alpha 90.00
_cell_angle_beta 90.00
_cell_angle_gamma 90.00
_symmetry_space_group_name_H-M 'P 4/m m m'
_symmetry_Int_Tables_number 123
_symmetry_space_group_name_Hall '-P 4 2'
loop_
_atom_site_label
_atom_site_fract_x
_atom_site_fract_y
_atom_site_fract_z
_atom_site_occupancy
Rb1 0.000 0.000 0.000 1
Ta1 0.500 0.500 0.500 1
Be1 0.500 0.500 0.000 1
Ge1 0.000 0.500 0.500 1
```

## RbTa2BeGe (PBE)

Data for an optimized crystal structure of RbTa2BeGe.

## Properties
crystal system	tetragonal
electronic total energy	-3.266	eV/atom

CIF file:
```
data_RbTa2BeGe
_cell_length_a 4.865
_cell_length_b 4.865
_cell_length_c 5.236
_cell_angle_alpha 90.00
_cell_angle_beta 90.00
_cell_angle_gamma 90.00
_symmetry_space_group_name_H-M 'P 4/m m m'
_symmetry_Int_Tables_number 123
_symmetry_space_group_name_Hall '-P 4 2'
loop_
_atom_site_label
_atom_site_fract_x
_atom_site_fract_y
_atom_site_fract_z
_atom_site_occupancy
Rb1 0.000 0.000 0.000 1
Ta1 0.000 0.500 0.000 1
Be1 0.500 0.500 0.500 1
Ge1 0.000 0.000 0.500 1
```

Number 1: ΔE_f 0.084 eV/atom, V 187.7 Å³/cell. Number 2: ΔE_f 0.418 eV/atom, V 128.6 Å³/cell. Number 3: ΔE_f 3.337 eV/atom, V 123.9 Å³/cell.